# FeNi2RuN (PBE-GGA, optimized geometry)
# Raw total energy: -7.336 eV per atom
# V: 54.75 Å³/f.u.
# Formation energy without anion corrections: 0.1895 eV/atom
# Energy above the lowest structure with this stoichiometry: 9 meV per atom
# Total moment: 4.19 μB per cell
data_FeNi2RuN
_chemical_formula_sum 'Fe1 Ni2 Ru1 N1'
_space_group_name_H-M_alt 'P 4/m m m'
_space_group_IT_number 123
_space_group_name_Hall '-P 4 2'
_cell_length_a 3.782
_cell_length_b 3.782
_cell_length_c 3.827
_cell_angle_alpha 90.00
_cell_angle_beta 90.00
_cell_angle_gamma 90.00
loop_
_atom_site_label
_atom_site_type_symbol
_atom_site_fract_x
_atom_site_fract_y
_atom_site_fract_z
Fe1 Fe 0.000 0.000 0.000
Ni1 Ni 0.000 0.500 0.500
Ru1 Ru 0.500 0.500 0.000
N1 N 0.000 0.000 0.500

# FeNiRu2N (PBE-GGA, optimized geometry)
# Raw total energy: -8.007 eV per atom
# V: 59.50 Å³/f.u.
# Formation energy without anion corrections: 0.2173 eV/atom
# Total moment: 2.91 μB per cell
data_FeNiRu2N
_chemical_formula_sum 'Fe1 Ni1 Ru2 N1'
_space_group_name_H-M_alt 'P 4/m m m'
_space_group_IT_number 123
_space_group_name_Hall '-P 4 2'
_cell_length_a 3.972
_cell_length_b 3.972
_cell_length_c 3.771
_cell_angle_alpha 90.00
_cell_angle_beta 90.00
_cell_angle_gamma 90.00
loop_
_atom_site_label
_atom_site_type_symbol
_atom_site_fract_x
_atom_site_fract_y
_atom_site_fract_z
Fe1 Fe 0.000 0.000 0.000
Ni1 Ni 0.500 0.500 0.000
Ru1 Ru 0.000 0.500 0.500
N1 N 0.000 0.000 0.500

# FeNi2RuN (PBE-GGA, optimized geometry)
# Raw total energy: -7.345 eV per atom
# V: 57.00 Å³/f.u.
# Formation energy without anion corrections: 0.1804 eV/atom
# Energy above the lowest structure with this stoichiometry: 0 meV per atom
# Total moment: 4.55 μB per cell
data_FeNi2RuN
_chemical_formula_sum 'Fe1 Ni2 Ru1 N1'
_space_group_name_H-M_alt 'P 4/m m m'
_space_group_IT_number 123
_space_group_name_Hall '-P 4 2'
_cell_length_a 3.804
_cell_length_b 3.804
_cell_length_c 3.939
_cell_angle_alpha 90.00
_cell_angle_beta 90.00
_cell_angle_gamma 90.00
loop_
_atom_site_label
_atom_site_type_symbol
_atom_site_fract_x
_atom_site_fract_y
_atom_site_fract_z
Fe1 Fe 0.000 0.000 0.000
Ni1 Ni 0.000 0.500 0.500
Ru1 Ru 0.500 0.500 0.000
N1 N 0.500 0.500 0.500

# Fe2NiSbN (PBE-GGA, optimized geometry)
# Raw total energy: -6.968 eV per atom
# V: 60.73 Å³/f.u.
# Formation energy without anion corrections: 0.0633 eV/atom
# Energy above the lowest structure with this stoichiometry: 0 meV per atom
# Total moment: 4.11 μB per cell
data_Fe2NiSbN
_chemical_formula_sum 'Fe2 Ni1 Sb1 N1'
_space_group_name_H-M_alt 'P 4/m m m'
_space_group_IT_number 123
_space_group_name_Hall '-P 4 2'
_cell_length_a 3.935
_cell_length_b 3.935
_cell_length_c 3.922
_cell_angle_alpha 90.00
_cell_angle_beta 90.00
_cell_angle_gamma 90.00
loop_
_atom_site_label
_atom_site_type_symbol
_atom_site_fract_x
_atom_site_fract_y
_atom_site_fract_z
Fe1 Fe 0.000 0.500 0.000
Ni1 Ni 0.000 0.000 0.500
Sb1 Sb 0.500 0.500 0.500
N1 N 0.000 0.000 0.000

# Fe2NiSbN (PBE-GGA, optimized geometry)
# Raw total energy: -6.287 eV per atom
# V: 75.58 Å³/f.u.
# Formation energy without anion corrections: 0.7442 eV/atom
# Energy above the lowest structure with this stoichiometry: 681 meV per atom
# Total moment: 6.18 μB per cell
data_Fe2NiSbN
_chemical_formula_sum 'Fe2 Ni1 Sb1 N1'
_space_group_name_H-M_alt 'P 4/m m m'
_space_group_IT_number 123
_space_group_name_Hall '-P 4 2'
_cell_length_a 4.736
_cell_length_b 4.736
_cell_length_c 3.369
_cell_angle_alpha 90.00
_cell_angle_beta 90.00
_cell_angle_gamma 90.00
loop_
_atom_site_label
_atom_site_type_symbol
_atom_site_fract_x
_atom_site_fract_y
_atom_site_fract_z
Fe1 Fe 0.000 0.500 0.000
Ni1 Ni 0.000 0.000 0.000
Sb1 Sb 0.500 0.500 0.500
N1 N 0.000 0.000 0.500

# FeSi2NiN (PBE-GGA, optimized geometry)
# Raw total energy: -6.062 eV per atom
# V: 68.41 Å³/f.u.
# Formation energy without anion corrections: 0.6211 eV/atom
# Total moment: 0.00 μB per cell
data_FeSi2NiN
_chemical_formula_sum 'Fe1 Si2 Ni1 N1'
_space_group_name_H-M_alt 'P 4/m m m'
_space_group_IT_number 123
_space_group_name_Hall '-P 4 2'
_cell_length_a 4.520
_cell_length_b 4.520
_cell_length_c 3.348
_cell_angle_alpha 90.00
_cell_angle_beta 90.00
_cell_angle_gamma 90.00
loop_
_atom_site_label
_atom_site_type_symbol
_atom_site_fract_x
_atom_site_fract_y
_atom_site_fract_z
Fe1 Fe 0.000 0.000 0.000
Si1 Si 0.000 0.500 0.000
Ni1 Ni 0.500 0.500 0.500
N1 N 0.000 0.000 0.500